Entry 1:
A plane-wave DFT calculation with PBE was carried out for crystalline Al2ZnPt at its relaxed geometry.

Results
Calculated formation energy, kJ/mol of formula units: -122
SG: R3m

a b c (Å): 8.704 8.704 8.704
angles (deg): 19.31 19.31 19.31
Atoms (fractional coordinates):
1 Pt 0.502 0.502 0.502
2 Al 0.000 0.000 0.000
3 Zn 0.753 0.753 0.753
4 Al 0.245 0.245 0.245

***

Entry 2:
A plane-wave DFT calculation with PBE was carried out for crystalline Nb6RhC at its relaxed geometry.

Results
Calculated formation energy, kJ/mol of formula units: -123
SG: P-1

a b c (Å): 4.838 5.506 5.394
angles (deg): 83.42 91.26 68.69
Atoms (fractional coordinates):
1 Nb 0.797 0.939 0.651
2 Nb 0.203 0.061 0.349
3 Nb 0.413 0.757 0.899
4 C 0.000 0.000 0.000
5 Rh 0.500 0.500 0.500
6 Nb 0.587 0.243 0.101
7 Nb 0.062 0.348 0.793
8 Nb 0.938 0.652 0.207

***

Entry 3:
A plane-wave DFT calculation with PBE was carried out for crystalline MgTaIO2 at its relaxed geometry.

Results
Energy relative to the elements, uncorrected, eV per atom: -1.2203
SG: P4/mmm

a b c (Å): 3.999 3.999 6.686
angles (deg): 90.00 90.00 90.00
Each line ends with the local moment (μB).
Atoms (fractional coordinates):
1 I 0.000 0.000 0.500  0.04
2 Ta 0.000 0.000 0.000  0.50
3 O 0.500 0.000 0.000  -0.03
4 Mg 0.500 0.500 0.500  0.00
5 O 0.000 0.500 0.000  -0.03

***

Entry 4:
A plane-wave DFT calculation with PBE was carried out for crystalline In14AgPb at its relaxed geometry.

Results
Calculated formation energy, kJ/mol of formula units: 44
SG: P4/mmm

a b c (Å): 7.022 7.022 8.829
angles (deg): 90.00 90.00 90.00
Atoms (fractional coordinates):
1 In 0.133 0.617 0.256
2 Ag 0.375 0.375 0.500
3 In 0.375 0.875 0.500
4 Pb 0.875 0.875 0.500
5 In 0.617 0.133 0.256
6 In 0.875 0.375 0.000
7 In 0.133 0.133 0.256
8 In 0.617 0.617 0.256
9 In 0.375 0.875 0.000
10 In 0.875 0.375 0.500
11 In 0.375 0.375 0.000
12 In 0.617 0.617 0.744
13 In 0.133 0.617 0.744
14 In 0.133 0.133 0.744
15 In 0.617 0.133 0.744
16 In 0.875 0.875 0.000